KMn2PbO8 | GGA+U | relaxed

```
data_KMn2PbO8
_chemical_formula_sum 'K1 Mn2 Pb1 O8'
_symmetry_space_group_name_H-M 'P -3'
_symmetry_Int_Tables_number 147
_cell_length_a 5.4225
_cell_length_b 5.4225
_cell_length_c 8.4246
_cell_angle_alpha 90.00
_cell_angle_beta 90.00
_cell_angle_gamma 120.00
loop_
_symmetry_equiv_pos_as_xyz
'x,y,z'
'-x,-y,-z'
'-y,x-y,z'
'y,-x+y,-z'
'-x+y,-x,z'
'x-y,x,-z'
loop_
_atom_site_label
_atom_site_fract_x
_atom_site_fract_y
_atom_site_fract_z
K1 0.0000 0.0000 0.0000
Mn1 0.3333 0.6667 0.7602
Pb1 0.0000 0.0000 0.5000
O1 0.0612 0.3659 0.6947
O2 0.3333 0.6667 0.9527
```

## Properties
- Total energy: -5.84 eV/atom
- Magnetization: 1.000 μB/cell